# 1
Entry from Alexandria: a relaxed structure of BaAl2TcRh (PBE).

Values from the calculation:
DOS at the Fermi energy	6.11	states/eV/f.u.
size of the total moment	3.48	μB/f.u.
calculated formation energy	0.6199	eV/atom
calculated density	4.9	g cm⁻³
raw total energy	-4.81	eV/atom

Lattice parameters (Å, degrees): 4.7689 4.7689 5.8359 90.00 90.00 90.00
Atoms (fractional coordinates):
Ba (0.0000, 0.0000, 0.0000)
Al (0.0000, 0.5000, 0.5000)
Al (0.5000, 0.0000, 0.5000)
Tc (0.5000, 0.5000, 0.0000)
Rh (0.0000, 0.0000, 0.5000)



# 2
Entry from Alexandria: a relaxed structure of BaAlTeRh2 (PBE).

Values from the calculation:
ΔE to the lowest computed polymorph	0	meV per atom
ΔE_f (raw)	12.4	kJ/mol of atoms
DOS at the Fermi energy	4.90	states/eV/f.u.
size of the total moment	1.00	μB/f.u.
calculated density	6.1	g cm⁻³
raw total energy	-4.57	eV/atom

Lattice parameters (Å, degrees): 4.7010 4.7010 6.1290 90.00 90.00 90.00
Atoms (fractional coordinates):
Ba (0.0000, 0.0000, 0.0000)
Al (0.0000, 0.0000, 0.5000)
Te (0.5000, 0.5000, 0.0000)
Rh (0.0000, 0.5000, 0.5000)
Rh (0.5000, 0.0000, 0.5000)



# 3
Entry from Alexandria: a relaxed structure of BaAlTeRh2 (PBE).

Values from the calculation:
ΔE to the lowest computed polymorph	80	meV per atom
ΔE_f (raw)	20.1	kJ/mol of atoms
DOS at the Fermi energy	4.50	states/eV/f.u.
size of the total moment	0.70	μB/f.u.
calculated density	6.1	g cm⁻³
raw total energy	-4.49	eV/atom

Lattice parameters (Å, degrees): 5.0232 5.0232 5.3486 90.00 90.00 90.00
Atoms (fractional coordinates):
Ba (0.0000, 0.0000, 0.0000)
Al (0.5000, 0.5000, 0.0000)
Te (0.5000, 0.5000, 0.5000)
Rh (0.0000, 0.5000, 0.5000)
Rh (0.5000, 0.0000, 0.5000)



# 4
Entry from Alexandria: a relaxed structure of BaAlZn2Rh (PBE).

Values from the calculation:
DOS at the Fermi energy	2.54	states/eV/f.u.
size of the total moment	0.00	μB/f.u.
calculated formation energy	-0.4042	eV/atom
calculated density	5.6	g cm⁻³
raw total energy	-3.52	eV/atom

Lattice parameters (Å, degrees): 4.9666 4.9666 4.7510 90.00 90.00 90.00
Atoms (fractional coordinates):
Ba (0.0000, 0.0000, 0.0000)
Al (0.5000, 0.5000, 0.0000)
Zn (0.0000, 0.5000, 0.5000)
Zn (0.5000, 0.0000, 0.5000)
Rh (0.5000, 0.5000, 0.5000)



Q: Among the records above, which one has the highest raw total energy?
A: BaAlZn2Rh